(1)
Cr2TeIr PBE-GGA optimized geometry; raw formation energy = 698 meV per atom; calculated density = 7.1 g/cm3; density of states at the Fermi level = 1.05 states/eV/atom; total magnetic moment = 13.1 μB/cell
1.0
-2.824 2.824 6.211
2.824 -2.824 6.211
2.824 2.824 -6.211
Cr Te Ir
4 2 2
direct
0.080 0.625 0.955 Cr
0.375 0.330 0.455 Cr
0.670 0.125 0.045 Cr
0.875 0.920 0.545 Cr
0.250 0.750 0.500 Te
0.500 0.500 0.000 Te
0.000 0.000 0.000 Ir
0.750 0.250 0.500 Ir



(2)
RbTlAu2I4 PBE-GGA optimized geometry; raw formation energy = -577 meV per atom; calculated density = 5.8 g/cm3; density of states at the Fermi level = 0.00 states/eV/atom; total magnetic moment = 0.0 μB/cell
1.0
-4.237 4.426 4.567
4.237 -4.426 4.567
4.237 4.426 -4.567
Rb Tl Au I
1 1 2 4
direct
0.000 0.000 0.000 Rb
0.500 0.500 0.000 Tl
0.332 0.832 0.500 Au
0.668 0.168 0.500 Au
0.093 0.016 0.519 I
0.497 0.574 0.481 I
0.503 0.984 0.077 I
0.907 0.426 0.923 I



(3)
Pm4Tl3Ru PBE-GGA optimized geometry; calculated density = 9.9 g/cm3; formation energy from the elements = -2.67 eV/f.u.; density of states at the Fermi level = 0.88 states/eV/atom; total magnetic moment = 0.0 μB/cell
1.0
3.582 0.000 0.000
0.000 3.582 0.000
0.000 0.000 16.990
Pm Tl Ru
4 3 1
direct
0.000 0.000 0.100 Pm
0.000 0.000 0.369 Pm
0.000 0.000 0.631 Pm
0.000 0.000 0.900 Pm
0.500 0.500 0.240 Tl
0.500 0.500 0.500 Tl
0.500 0.500 0.760 Tl
0.500 0.500 0.000 Ru



(4)
TaAlPd3 PBE-GGA optimized geometry; calculated density = 9.7 g/cm3; formation energy from the elements = 2.24 eV/f.u.; distance to the lowest polymorph of the same formula = 0 meV per atom; density of states at the Fermi level = 1.17 states/eV/atom; total magnetic moment = 1.8 μB/cell
1.0
4.488 0.000 0.000
0.000 4.488 0.000
0.000 0.000 4.488
Ta Al Pd
1 1 3
direct
0.000 0.000 0.000 Ta
0.500 0.500 0.500 Al
0.000 0.500 0.500 Pd
0.500 0.000 0.500 Pd
0.500 0.500 0.000 Pd



(5)
AsOs2Rh PBE-GGA optimized geometry; calculated density = 16.0 g/cm3; formation energy from the elements = 1.42 eV/f.u.; density of states at the Fermi level = 1.07 states/eV/atom; total magnetic moment = 0.0 μB/cell
1.0
-1.485 2.211 4.414
1.485 -2.211 4.414
1.485 2.211 -4.414
As Os Rh
1 2 1
direct
0.000 0.000 0.000 As
0.227 0.727 0.500 Os
0.496 0.496 0.000 Os
0.779 0.279 0.500 Rh



(6)
Tb2PrBe PBE-GGA optimized geometry; calculated density = 7.2 g/cm3; formation energy from the elements = 0.30 eV/f.u.; distance to the lowest polymorph of the same formula = 0 meV per atom; density of states at the Fermi level = 1.06 states/eV/atom; total magnetic moment = 0.0 μB/cell
1.0
3.498 0.000 0.000
0.000 3.498 0.000
0.000 0.000 8.798
Tb Pr Be
2 1 1
direct
0.000 0.000 0.187 Tb
0.000 0.000 0.813 Tb
0.500 0.500 0.500 Pr
0.500 0.500 0.000 Be



(7)
TaTe4P3 PBE-GGA optimized geometry; raw formation energy = 502 meV per atom; calculated density = 6.6 g/cm3; density of states at the Fermi level = 0.74 states/eV/atom; total magnetic moment = 0.0 μB/cell
1.0
5.830 0.000 0.000
0.000 5.830 0.000
0.000 0.000 5.830
Ta Te P
1 4 3
direct
0.000 0.000 0.000 Ta
0.300 0.300 0.300 Te
0.300 0.700 0.700 Te
0.700 0.300 0.700 Te
0.700 0.700 0.300 Te
0.000 0.000 0.500 P
0.000 0.500 0.000 P
0.500 0.000 0.000 P



(8)
BaLaNd PBE-GGA optimized geometry; calculated density = 5.5 g/cm3; formation energy from the elements = 0.39 eV/f.u.; distance to the lowest polymorph of the same formula = 17 meV per atom; density of states at the Fermi level = 1.51 states/eV/atom; total magnetic moment = 0.0 μB/cell
1.0
3.877 0.000 0.000
-1.939 3.358 0.000
0.000 0.000 9.706
Ba La Nd
1 1 1
direct
0.000 0.000 0.000 Ba
0.333 0.667 0.642 La
0.667 0.333 0.348 Nd



(9)
Ir3OsC PBE-GGA optimized geometry; calculated density = 19.1 g/cm3; formation energy from the elements = 4.12 eV/f.u.; distance to the lowest polymorph of the same formula = 0 meV per atom; density of states at the Fermi level = 1.61 states/eV/atom; total magnetic moment = 0.0 μB/cell
1.0
4.073 0.000 0.000
0.000 4.073 0.000
0.000 0.000 4.073
Ir Os C
3 1 1
direct
0.000 0.000 0.500 Ir
0.000 0.500 0.000 Ir
0.500 0.000 0.000 Ir
0.500 0.500 0.500 Os
0.000 0.000 0.000 C



(10)
Li3HfPt4 PBE-GGA optimized geometry; calculated density = 13.9 g/cm3; formation energy from the elements = -6.53 eV/f.u.; density of states at the Fermi level = 0.24 states/eV/atom; total magnetic moment = 0.0 μB/cell
1.0
-2.071 2.071 6.835
2.071 -2.071 6.835
2.071 2.071 -6.835
Li Hf Pt
3 1 4
direct
0.000 0.000 0.000 Li
0.247 0.247 0.000 Li
0.753 0.753 0.000 Li
0.500 0.500 0.000 Hf
0.130 0.630 0.500 Pt
0.370 0.870 0.500 Pt
0.630 0.130 0.500 Pt
0.870 0.370 0.500 Pt



(11)
LaThTe2Se PBE-GGA optimized geometry; raw formation energy = -1473 meV per atom; calculated density = 7.5 g/cm3; density of states at the Fermi level = 0.41 states/eV/atom; total magnetic moment = 0.0 μB/cell
1.0
4.546 0.000 0.000
0.000 4.546 0.000
0.000 0.000 15.177
La Th Te Se
2 2 4 2
direct
0.250 0.250 0.091 La
0.750 0.750 0.909 La
0.250 0.250 0.625 Th
0.750 0.750 0.375 Th
0.250 0.250 0.303 Te
0.250 0.250 0.872 Te
0.750 0.750 0.128 Te
0.750 0.750 0.697 Te
0.250 0.750 0.500 Se
0.750 0.250 0.500 Se